K2BaRu PBE-GGA optimized geometry; uncorrected energy = -2.420 eV per atom
1.0
7.491 0.001 0.050
-4.669 5.858 0.050
1.135 2.357 3.552
Ru K Ba
1 2 1
Direct
0.500 0.000 0.500 Ru
0.000 0.000 0.000 K
0.500 0.500 0.000 K
0.000 0.500 0.500 Ba


KBaRu2 PBE-GGA optimized geometry; uncorrected energy = -3.908 eV per atom
1.0
-6.538 -5.700 0.498
1.619 -2.569 -8.141
-0.618 -6.158 -2.816
Ru K Ba
4 2 2
Direct
0.875 0.878 0.750 Ru
0.375 0.372 0.750 Ru
0.628 0.125 0.250 Ru
0.122 0.625 0.250 Ru
0.500 0.500 0.000 K
0.250 0.750 0.500 K
0.000 0.000 0.000 Ba
0.750 0.250 0.500 Ba


K2BaRu PBE-GGA optimized geometry; uncorrected energy = -2.421 eV per atom
1.0
4.823 0.000 0.000
0.000 4.823 0.000
2.411 2.411 13.492
K Ba Ru
4 2 2
Direct
0.375 0.401 0.750 K
0.151 0.625 0.250 K
0.875 0.849 0.750 K
0.599 0.125 0.250 K
0.750 0.250 0.500 Ba
0.000 0.000 0.000 Ba
0.250 0.750 0.500 Ru
0.500 0.500 0.000 Ru


K2BaRu PBE-GGA optimized geometry; uncorrected energy = -2.235 eV per atom
1.0
-5.024 5.318 -11.357
-4.182 1.869 -12.709
-7.502 2.466 -10.961
Ba K Ru
1 2 1
Direct
0.750 0.750 0.750 Ba
0.520 0.520 0.520 K
0.980 0.980 0.980 K
0.250 0.250 0.250 Ru


KBa2Ru PBE-GGA optimized geometry; uncorrected energy = -3.021 eV per atom
1.0
4.299 -0.033 0.000
0.034 4.299 0.000
0.000 0.000 10.789
Ba Ru K
2 1 1
Direct
0.000 0.000 0.885 Ba
0.500 0.500 0.175 Ba
0.500 0.500 0.938 Ru
0.000 0.000 0.502 K


KBa2Ru PBE-GGA optimized geometry; uncorrected energy = -2.999 eV per atom
1.0
7.123 1.348 0.548
1.446 7.103 -0.548
-3.329 -5.194 3.845
K Ba Ru
1 2 1
Direct
0.750 0.250 0.500 K
0.419 0.419 0.000 Ba
0.081 0.081 0.000 Ba
0.250 0.750 0.500 Ru


Energy of formation values, unit kJ/mol of atoms, following the record order: 90 143 89 107 52 54.
Energy above the most stable polymorph in this dataset values, unit meV per atom, following the record order: 295 1053 294 481 172 193.